A relaxed structure of Ce2Np2N7. Source: the Alexandria database, functional PBE.

a = 7.5918 Å, b = 7.5918 Å, c = 7.5918 Å
α = 60.00°, β = 60.00°, γ = 60.00°
Closest atoms and distances in Å follow each position.
Sites, in units of the cell vectors:
1 N 0.2118 0.7882 0.7882  2 Np 2.11
2 N 0.5000 0.5000 0.5000  4 Ce 2.32
3 N 0.7882 0.2118 0.7882  2 Np 2.11
4 N 0.7882 0.7882 0.2118  2 Np 2.11
5 N 0.0382 0.0382 0.4618  2 Np 2.11
6 N 0.4618 0.0382 0.0382  2 Np 2.11
7 Np 0.1250 0.1250 0.6250  6 N 2.11
8 Np 0.6250 0.1250 0.1250  6 N 2.11
9 N 0.4618 0.4618 0.0382  2 Np 2.11
10 Ce 0.6250 0.1250 0.6250  8 N 2.32-2.58
11 Np 0.1250 0.6250 0.1250  6 N 2.11
12 N 0.2118 0.2118 0.7882  2 Np 2.11
13 Ce 0.6250 0.6250 0.1250  8 N 2.32-2.58
14 N 0.0382 0.4618 0.4618  2 Np 2.11
15 N 0.4618 0.0382 0.4618  2 Np 2.11
16 Np 0.1250 0.1250 0.1250  6 N 2.11
17 N 0.7500 0.7500 0.7500  4 Ce 2.32
18 Ce 0.6250 0.6250 0.6250  8 N 2.32-2.58
19 N 0.7882 0.2118 0.2118  2 Np 2.11
20 N 0.0382 0.4618 0.0382  2 Np 2.11
21 N 0.2118 0.7882 0.2118  2 Np 2.11
22 Ce 0.1250 0.6250 0.6250  8 N 2.32-2.58

VASP energy: -9.93 eV per atom
ΔE_f (raw): -1.2006 eV/atom